1.
Entry from Alexandria: crystalline SrAg2As at its relaxed geometry (PBE).

Calculated values
Calculated volume: 99.3 Å³/cell
N(E_F): 0.60 states/eV/atom

Cell lengths 4.292, 4.310, 5.792 Å; angles 67.93, 90.00, 90.00 degrees
Atoms (fractional coordinates):
Sr (0.500, 0.731, 0.659)
As (0.000, 0.306, 0.511)
Ag (0.000, 0.012, 0.108)
Ag (0.500, 0.451, 0.222)

=====

2.
Entry from Alexandria: crystalline SrAgAs2 at its relaxed geometry (PBE).

Calculated values
Calculated volume: 92.5 Å³/cell
N(E_F): 0.46 states/eV/atom

Cell lengths 3.385, 3.385, 8.070 Å; angles 90.00, 90.00, 90.00 degrees
Atoms (fractional coordinates):
Sr (0.500, 0.500, 0.250)
As (0.000, 0.000, 0.971)
As (0.000, 0.000, 0.529)
Ag (0.500, 0.500, 0.750)

=====

3.
Entry from Alexandria: crystalline SrAgAs at its relaxed geometry (PBE).

Calculated values
Calculated volume: 191.1 Å³/cell
N(E_F): 0.00 states/eV/atom

Cell lengths 6.196, 6.196, 4.978 Å; angles 90.00, 90.00, 90.00 degrees
Atoms (fractional coordinates):
Sr (0.000, 0.000, 0.500)
Sr (0.500, 0.500, 0.500)
As (0.000, 0.500, 0.369)
As (0.500, 0.000, 0.631)
Ag (0.000, 0.500, 0.875)
Ag (0.500, 0.000, 0.125)

=====

4.
Entry from Alexandria: crystalline SrAg2As at its relaxed geometry (PBE).

Calculated values
Calculated volume: 95.9 Å³/cell
N(E_F): 0.46 states/eV/atom

Cell lengths 6.395, 5.085, 3.350 Å; angles 89.45, 75.05, 113.27 degrees
Atoms (fractional coordinates):
Sr (0.500, 0.000, 0.500)
As (0.500, 0.500, 0.000)
Ag (0.000, 0.000, 0.000)
Ag (0.000, 0.500, 0.500)

=====

5.
Entry from Alexandria: crystalline SrAgAs2 at its relaxed geometry (PBE).

Calculated values
Calculated volume: 220.5 Å³/cell
N(E_F): 0.22 states/eV/atom

Cell lengths 4.959, 4.959, 9.630 Å; angles 75.08, 75.08, 90.00 degrees
Atoms (fractional coordinates):
Sr (0.500, 0.500, 0.000)
Sr (0.250, 0.750, 0.500)
As (0.759, 0.125, 0.250)
As (0.991, 0.625, 0.250)
As (0.375, 0.241, 0.750)
As (0.875, 0.009, 0.750)
Ag (0.000, 0.000, 0.000)
Ag (0.750, 0.250, 0.500)

=====

6.
Entry from Alexandria: crystalline SrAgAs2 at its relaxed geometry (PBE).

Calculated values
Calculated volume: 91.4 Å³/cell
N(E_F): 0.48 states/eV/atom

Cell lengths 4.288, 4.618, 4.618 Å; angles 90.00, 90.00, 90.00 degrees
Atoms (fractional coordinates):
Sr (0.500, 0.500, 0.000)
As (0.000, 0.000, 0.000)
As (0.000, 0.500, 0.500)
Ag (0.500, 0.000, 0.500)

=====

7.
Entry from Alexandria: crystalline SrAgAs2 at its relaxed geometry (PBE).

Calculated values
Calculated volume: 93.4 Å³/cell
N(E_F): 0.37 states/eV/atom

Cell lengths 5.093, 5.093, 5.093 Å; angles 60.00, 60.00, 60.00 degrees
Atoms (fractional coordinates):
Sr (0.750, 0.750, 0.750)
As (0.000, 0.000, 0.000)
As (0.250, 0.250, 0.250)
Ag (0.500, 0.500, 0.500)

=====

8.
Entry from Alexandria: crystalline SrAgAs at its relaxed geometry (PBE).

Calculated values
Calculated volume: 160.9 Å³/cell
N(E_F): 0.01 states/eV/atom

Cell lengths 4.731, 4.729, 8.751 Å; angles 105.74, 105.73, 59.91 degrees
Atoms (fractional coordinates):
Sr (0.811, 0.581, 0.960)
Sr (0.355, 0.124, 0.593)
As (0.071, 0.841, 0.741)
As (0.228, 0.998, 0.209)
Ag (0.953, 0.722, 0.386)
Ag (0.576, 0.346, 0.256)

=====

9.
Entry from Alexandria: crystalline Sr3U3AgAs8 at its relaxed geometry (PBE).

Calculated values
Calculated volume: 424.7 Å³/cell
N(E_F): 1.19 states/eV/atom

Cell lengths 8.227, 8.222, 8.664 Å; angles 118.29, 90.00, 120.02 degrees
Atoms (fractional coordinates):
Sr (0.000, 0.000, 0.000)
Sr (0.000, 0.500, 0.000)
Sr (0.500, 0.500, 0.000)
U (0.500, 0.000, 0.500)
U (0.500, 0.500, 0.500)
U (0.000, 0.500, 0.500)
Ag (0.000, 0.000, 0.500)
As (0.260, 0.521, 0.281)
As (0.740, 0.479, 0.719)
As (0.755, 0.509, 0.284)
As (0.245, 0.491, 0.716)
As (0.754, 0.030, 0.284)
As (0.246, 0.970, 0.716)
As (0.275, 0.030, 0.284)
As (0.725, 0.970, 0.716)

=====

10.
Entry from Alexandria: crystalline Ta2AgAs at its relaxed geometry (PBE).

Calculated values
Calculated volume: 71.7 Å³/cell
N(E_F): 0.66 states/eV/atom

Cell lengths 3.516, 3.517, 5.803 Å; angles 90.00, 90.00, 90.00 degrees
Atoms (fractional coordinates):
As (0.500, 0.500, 0.759)
Ag (0.000, 0.000, 0.503)
Ta (0.000, 0.000, 0.004)
Ta (0.500, 0.500, 0.234)

=====

11.
Entry from Alexandria: crystalline TaAg3As at its relaxed geometry (PBE).

Calculated values
Calculated volume: 109.2 Å³/cell
Energy above the lowest structure with this stoichiometry: 0.000 eV/f.u.
N(E_F): 0.63 states/eV/atom

Cell lengths 4.779, 4.779, 4.779 Å; angles 90.00, 90.00, 90.00 degrees
Atoms (fractional coordinates):
As (0.000, 0.000, 0.000)
Ag (0.000, 0.500, 0.000)
Ag (0.000, 0.000, 0.500)
Ag (0.500, 0.000, 0.000)
Ta (0.500, 0.500, 0.500)

=====

12.
Entry from Alexandria: crystalline Ta2AgAs2 at its relaxed geometry (PBE).

Calculated values
Calculated volume: 176.2 Å³/cell
Energy above the lowest structure with this stoichiometry: 0.219 eV/f.u.
N(E_F): 0.56 states/eV/atom

Cell lengths 7.340, 7.340, 3.272 Å; angles 90.00, 90.00, 90.00 degrees
Atoms (fractional coordinates):
As (0.351, 0.851, 0.000)
As (0.851, 0.649, 0.000)
As (0.649, 0.149, 0.000)
As (0.149, 0.351, 0.000)
Ag (0.000, 0.000, 0.000)
Ag (0.500, 0.500, 0.000)
Ta (0.140, 0.640, 0.500)
Ta (0.640, 0.860, 0.500)
Ta (0.860, 0.360, 0.500)
Ta (0.360, 0.140, 0.500)

=====

no.,energy (eV for the cell shown)
1,-13.196
2,-14.395
3,-21.495
4,-12.408
5,-30.729
6,-15.074
7,-14.355
8,-22.251
9,-88.157
10,-30.758
11,-18.875
12,-72.364